[1]
Material: Zn2CoHgP
Method: DFT, PBE
State: optimized geometry Values from VASP.

Geometry as Quantum ESPRESSO input:
```
&SYSTEM
  ibrav = 0, nat = 5, ntyp = 4
/
ATOMIC_SPECIES
P 30.97 P.upf
Zn 65.41 Zn.upf
Co 58.93 Co.upf
Hg 200.59 Hg.upf
ATOMIC_POSITIONS angstrom
P 0.0000 0.0000 0.0000
Zn -0.0245 -1.7369 1.5084
Zn -0.4472 1.4833 1.7007
Co -2.9928 -0.5609 2.8143
Hg -2.5212 -0.3074 -0.3948
CELL_PARAMETERS angstrom
-0.8943 2.9667 3.4014
-5.0424 -0.6147 -0.7896
-0.0489 -3.4737 3.0168
```

E (eV for the cell shown): -11.0

[2]
Material: Pa2CoHg
Method: DFT, PBE
State: optimized geometry Values from VASP.

Geometry as Quantum ESPRESSO input:
```
&SYSTEM
  ibrav = 0, nat = 4, ntyp = 3
/
ATOMIC_SPECIES
Pa 231.04 Pa.upf
Co 58.93 Co.upf
Hg 200.59 Hg.upf
ATOMIC_POSITIONS angstrom
Pa 1.6905 0.9760 6.7966
Pa 5.0716 2.9281 3.3029
Co 3.3810 1.9520 5.0498
Hg 0.0000 0.0000 0.0000
CELL_PARAMETERS angstrom
3.3810 0.0000 0.0000
1.6905 2.9281 0.0000
1.6905 0.9760 10.0995
```

E (eV for the cell shown): -25.7
Energy above the lowest structure with this stoichiometry (eV per atom): 0.287

[3]
Material: Pa2CoHg
Method: DFT, PBE
State: optimized geometry Values from VASP.

Geometry as Quantum ESPRESSO input:
```
&SYSTEM
  ibrav = 0, nat = 4, ntyp = 3
/
ATOMIC_SPECIES
Pa 231.04 Pa.upf
Co 58.93 Co.upf
Hg 200.59 Hg.upf
ATOMIC_POSITIONS angstrom
Pa 0.0000 0.0000 6.7527
Pa 0.0000 0.0000 1.7441
Co 1.5697 1.5697 0.0000
Hg 1.5697 1.5697 4.2484
CELL_PARAMETERS angstrom
3.1394 0.0000 0.0000
0.0000 3.1394 0.0000
0.0000 0.0000 8.4968
```

E (eV for the cell shown): -26.9
Energy above the lowest structure with this stoichiometry (eV per atom): 0.000

[4]
Material: Pa2CoHg
Method: DFT, PBE
State: optimized geometry Values from VASP.

Geometry as Quantum ESPRESSO input:
```
&SYSTEM
  ibrav = 0, nat = 4, ntyp = 3
/
ATOMIC_SPECIES
Pa 231.04 Pa.upf
Co 58.93 Co.upf
Hg 200.59 Hg.upf
ATOMIC_POSITIONS angstrom
Pa -0.0983 6.5608 3.0032
Pa -1.4748 1.8534 1.1752
Co -3.5078 8.6950 4.7430
Hg -2.7078 4.5337 2.6716
CELL_PARAMETERS angstrom
-3.2335 1.2147 -0.6931
-2.5239 -0.2128 2.4486
0.3390 8.0561 3.5839
```

E (eV for the cell shown): -26.6
Energy above the lowest structure with this stoichiometry (eV per atom): 0.078

ΔE_f across the listed records, respectively: 0.881 0.165 -0.122 -0.044 eV per atom.
DOS at the Fermi energy across the listed records, respectively: 4.11 4.02 5.94 5.54 states/eV per cell.